(1)
Computed, not measured: a geometry-optimized UPaS6 structure at the PBE level of DFT.

Lattice parameters (Å, degrees): 7.2853 7.2853 17.8526 90.00 90.00 120.00
Space group R-3 (No. 148, hexagonal axes)
One atom of each set of equivalent atoms:
1 U 0.0000 0.0000 0.0000 (multiplicity 3)
2 Pa 0.0000 0.0000 0.5000 (multiplicity 3)
3 S 0.0058 0.4994 0.7487 (multiplicity 18)

Values from the calculation:
Its uncorrected formation energy is -976 meV per atom.

=====

(2)
Computed, not measured: a geometry-optimized HfThPt2 structure at the PBE level of DFT.

Lattice parameters (Å, degrees): 5.6150 4.3884 7.4263 90.00 108.50 90.00
Space group P2_1/m (No. 11)
One atom of each set of equivalent atoms:
1 Hf 0.2151 0.2500 0.4349 (multiplicity 2)
2 Th 0.2255 0.2500 0.9243 (multiplicity 2)
3 Pt 0.3088 0.7500 0.6706 (multiplicity 2)
4 Pt 0.3174 0.7500 0.2369 (multiplicity 2)

Values from the calculation:
Its energy above the most stable polymorph in this dataset is 0 meV/atom.

=====

(3)
Computed, not measured: a geometry-optimized BeCu2Pd5 structure at the PBE level of DFT.

Lattice parameters (Å, degrees): 3.8165 8.5475 13.4466 90.00 90.00 90.00
Space group Cmcm (No. 63)
One atom of each set of equivalent atoms:
1 Be 0.0000 0.1665 0.2500 (multiplicity 4)
2 Cu 0.0000 0.2503 0.6581 (multiplicity 8)
3 Pd 0.0000 0.0498 0.1043 (multiplicity 8)
4 Pd 0.0000 0.3504 0.0367 (multiplicity 8)
5 Pd 0.0000 0.4460 0.2500 (multiplicity 4)

Values from the calculation:
Its energy above the most stable polymorph in this dataset is 35 meV/atom.